1.
MnCdTe2O8 after structural relaxation, computed with PBE+U.

Properties
**Symmetry**: I-4m2
**Raw total energy**: -5.46 eV/atom

Cell: 6.135 6.135 6.135 Å, 107.19 107.19 114.14°
Atoms (fractional coordinates):
Mn1 0.000 0.000 0.000
Cd1 0.250 0.750 0.500
Te1 0.500 0.500 0.000
Te2 0.750 0.250 0.500
O1 0.313 0.126 0.813
O2 0.313 0.501 0.187
O3 0.377 0.071 0.306
O4 0.499 0.687 0.813
O5 0.765 0.071 0.694
O6 0.874 0.687 0.187
O7 0.929 0.235 0.306
O8 0.929 0.623 0.694

2.
Mn3Cd3Te2O12 after structural relaxation, computed with PBE+U.

Properties
**Symmetry**: R3
**Raw total energy**: -5.86 eV/atom

Cell: 6.455 6.455 6.455 Å, 90.37 90.37 90.37°
Atoms (fractional coordinates):
Mn1 0.039 0.737 0.224
Mn2 0.224 0.039 0.737
Mn3 0.737 0.224 0.039
Cd1 0.350 0.535 0.835
Cd2 0.535 0.835 0.350
Cd3 0.835 0.350 0.535
Te1 0.280 0.280 0.280
Te2 0.792 0.792 0.792
O1 0.083 0.755 0.873
O2 0.213 0.992 0.352
O3 0.220 0.337 0.574
O4 0.337 0.574 0.220
O5 0.352 0.213 0.992
O6 0.502 0.844 0.714
O7 0.574 0.220 0.337
O8 0.714 0.502 0.844
O9 0.755 0.873 0.083
O10 0.844 0.714 0.502
O11 0.873 0.083 0.755
O12 0.992 0.352 0.213

3.
TiMn3Cd3O8 after structural relaxation, computed with PBE+U.

Properties
**Symmetry**: R-3m
**Raw total energy**: -6.49 eV/atom

Cell: 6.564 6.564 6.564 Å, 58.79 58.79 58.79°
Atoms (fractional coordinates):
Ti1 0.000 0.000 0.000
Mn1 0.000 0.500 0.500
Mn2 0.500 0.000 0.500
Mn3 0.500 0.500 0.000
Cd1 0.000 0.000 0.500
Cd2 0.000 0.500 0.000
Cd3 0.500 0.000 0.000
O1 0.218 0.218 0.769
O2 0.218 0.769 0.218
O3 0.231 0.782 0.782
O4 0.257 0.257 0.257
O5 0.743 0.743 0.743
O6 0.769 0.218 0.218
O7 0.782 0.231 0.782
O8 0.782 0.782 0.231

4.
TiMn2Cd2O6 after structural relaxation, computed with PBE+U.

Properties
**Symmetry**: C2/m
**Raw total energy**: -6.68 eV/atom

Cell: 5.440 5.440 5.694 Å, 100.22 100.22 117.33°
Atoms (fractional coordinates):
Ti1 0.000 0.000 0.000
Mn1 0.339 0.661 0.000
Mn2 0.661 0.339 0.000
Cd1 0.177 0.823 0.500
Cd2 0.823 0.177 0.500
O1 0.055 0.374 0.214
O2 0.225 0.225 0.800
O3 0.374 0.055 0.214
O4 0.626 0.945 0.786
O5 0.775 0.775 0.200
O6 0.945 0.626 0.786

5.
TiMnCdO2 after structural relaxation, computed with PBE+U.

Properties
**Symmetry**: P4/mmm
**Raw total energy**: -5.38 eV/atom

Cell: 3.892 3.892 5.197 Å, 90.00 90.00 90.00°
Atoms (fractional coordinates):
Ti1 0.000 0.000 0.000
Mn1 0.500 0.500 0.500
Cd1 0.500 0.500 0.000
O1 0.000 0.500 0.500
O2 0.500 0.000 0.500

6.
Mn2TlCdO6 after structural relaxation, computed with PBE+U.

Properties
**Symmetry**: C2
**Raw total energy**: -5.93 eV/atom

Cell: 5.437 5.437 5.459 Å, 119.81 119.81 60.11°
Atoms (fractional coordinates):
Mn1 0.248 0.248 0.244
Mn2 0.752 0.752 0.756
Tl1 0.002 0.998 0.500
Cd1 0.499 0.501 0.000
O1 0.001 0.402 0.502
O2 0.091 0.909 0.000
O3 0.405 0.595 0.500
O4 0.495 0.092 0.995
O5 0.598 0.999 0.498
O6 0.908 0.505 0.005

7.
MnTlCd2O4 after structural relaxation, computed with PBE+U.

Properties
**Symmetry**: I-42m
**Raw total energy**: -4.97 eV/atom

Cell: 5.181 5.181 10.128 Å, 90.00 90.00 90.00°
Atoms (fractional coordinates):
Mn1 0.000 0.000 0.000
Mn2 0.500 0.500 0.500
Tl1 0.000 0.000 0.500
Tl2 0.500 0.500 0.000
Cd1 0.000 0.500 0.250
Cd2 0.000 0.500 0.750
Cd3 0.500 0.000 0.250
Cd4 0.500 0.000 0.750
O1 0.229 0.229 0.878
O2 0.229 0.771 0.122
O3 0.271 0.271 0.378
O4 0.271 0.729 0.622
O5 0.729 0.271 0.622
O6 0.729 0.729 0.378
O7 0.771 0.229 0.122
O8 0.771 0.771 0.878

8.
UMn2CdO6 after structural relaxation, computed with PBE+U.

Properties
**Symmetry**: P4mm
**Raw total energy**: -7.39 eV/atom

Cell: 6.094 6.094 4.348 Å, 90.00 90.00 90.00°
Atoms (fractional coordinates):
U1 0.000 0.000 0.000
Mn1 0.000 0.500 0.220
Mn2 0.500 0.000 0.220
Cd1 0.500 0.500 0.916
O1 0.000 0.000 0.512
O2 0.236 0.236 0.052
O3 0.236 0.764 0.052
O4 0.500 0.500 0.435
O5 0.764 0.236 0.052
O6 0.764 0.764 0.052

9.
UMnCdO6 after structural relaxation, computed with PBE+U.

Properties
**Symmetry**: P4_2nm
**Raw total energy**: -7.50 eV/atom

Cell: 4.902 4.902 9.673 Å, 90.00 90.00 90.00°
Atoms (fractional coordinates):
U1 0.000 0.000 0.000
U2 0.500 0.500 0.500
Mn1 0.000 0.000 0.664
Mn2 0.500 0.500 0.164
Cd1 0.000 0.000 0.332
Cd2 0.500 0.500 0.832
O1 0.175 0.175 0.823
O2 0.198 0.198 0.521
O3 0.217 0.217 0.150
O4 0.283 0.717 0.650
O5 0.302 0.698 0.021
O6 0.325 0.675 0.323
O7 0.675 0.325 0.323
O8 0.698 0.302 0.021
O9 0.717 0.283 0.650
O10 0.783 0.783 0.150
O11 0.802 0.802 0.521
O12 0.825 0.825 0.823

10.
MnV2CdO6 after structural relaxation, computed with PBE+U.

Properties
**Symmetry**: C2/c
**Raw total energy**: -6.99 eV/atom

Cell: 7.293 7.293 5.135 Å, 110.01 110.01 77.67°
Atoms (fractional coordinates):
Mn1 0.087 0.913 0.750
Mn2 0.913 0.087 0.250
V1 0.179 0.359 0.519
V2 0.359 0.179 0.019
V3 0.641 0.821 0.981
V4 0.821 0.641 0.481
Cd1 0.281 0.719 0.250
Cd2 0.719 0.281 0.750
O1 0.075 0.205 0.688
O2 0.102 0.614 0.746
O3 0.205 0.075 0.188
O4 0.301 0.424 0.316
O5 0.386 0.898 0.754
O6 0.424 0.301 0.816
O7 0.576 0.699 0.184
O8 0.614 0.102 0.246
O9 0.699 0.576 0.684
O10 0.795 0.925 0.812
O11 0.898 0.386 0.254
O12 0.925 0.795 0.312

11.
Mn2CdWO6 after structural relaxation, computed with PBE+U.

Properties
**Symmetry**: P4mm
**Raw total energy**: -6.68 eV/atom

Cell: 5.377 5.377 5.279 Å, 90.00 90.00 90.00°
Atoms (fractional coordinates):
Mn1 0.000 0.500 0.000
Mn2 0.500 0.000 0.000
Cd1 0.000 0.000 0.565
W1 0.500 0.500 0.660
O1 0.000 0.000 0.174
O2 0.264 0.264 0.787
O3 0.264 0.736 0.787
O4 0.500 0.500 0.318
O5 0.736 0.264 0.787
O6 0.736 0.736 0.787

12.
MnCd2WO6 after structural relaxation, computed with PBE+U.

Properties
**Symmetry**: P4mm
**Raw total energy**: -5.97 eV/atom

Cell: 5.683 5.683 4.091 Å, 90.00 90.00 90.00°
Atoms (fractional coordinates):
Mn1 0.000 0.000 0.000
Cd1 0.000 0.500 0.398
Cd2 0.500 0.000 0.398
W1 0.500 0.500 0.971
O1 0.000 0.000 0.513
O2 0.264 0.264 0.049
O3 0.264 0.736 0.049
O4 0.500 0.500 0.520
O5 0.736 0.264 0.049
O6 0.736 0.736 0.049